Entry 1:
This record from Alexandria describes crystalline Sb2SeBr at its relaxed geometry. The functional is GGA-PBE.

CIF file:
```
data_Sb2SeBr
_chemical_formula_sum 'Sb6 Se3 Br3'
_cell_length_a 3.7074
_cell_length_b 3.7074
_cell_length_c 27.0028
_cell_angle_alpha 90.00
_cell_angle_beta 90.00
_cell_angle_gamma 120.00
_symmetry_space_group_name_H-M 'R -3 m'
_symmetry_Int_Tables_number 166
_symmetry_space_group_name_Hall '-R 3 2"'
loop_
_atom_site_label
_atom_site_type_symbol
_atom_site_fract_x
_atom_site_fract_y
_atom_site_fract_z
Sb1 Sb 0.0000 0.0000 0.2416
Se1 Se 0.0000 0.0000 0.5000
Br1 Br 0.0000 0.0000 0.0000
```

## Properties
Formation energy from raw total energies (eV per atom): 0.004
Crystal system: trigonal


Entry 2:
This record from Alexandria describes crystalline Sb2MoCl at its relaxed geometry. The functional is GGA-PBE.

CIF file:
```
data_Sb2MoCl
_chemical_formula_sum 'Sb2 Mo1 Cl1'
_cell_length_a 3.329
_cell_length_b 4.789
_cell_length_c 5.815
_cell_angle_alpha 90.00
_cell_angle_beta 90.00
_cell_angle_gamma 90.00
_symmetry_space_group_name_H-M 'P m m m'
_symmetry_Int_Tables_number 47
loop_
_symmetry_equiv_pos_as_xyz
'x,y,z'
'-x,-y,-z'
'-x,-y,z'
'x,y,-z'
'x,-y,-z'
'-x,y,z'
'-x,y,-z'
'x,-y,z'
loop_
_atom_site_label
_atom_site_type_symbol
_atom_site_fract_x
_atom_site_fract_y
_atom_site_fract_z
Sb1 Sb 0.000 0.000 0.000
Sb2 Sb 0.500 0.000 0.500
Mo1 Mo 0.000 0.500 0.500
Cl1 Cl 0.500 0.500 0.000
```

## Properties
Formation energy from raw total energies (eV per atom): 0.624
Crystal system: orthorhombic


Entry 3:
This record from Alexandria describes crystalline Pm2YHfN4 at its relaxed geometry. The functional is GGA-PBE.

CIF file:
```
data_Pm2YHfN4
_chemical_formula_sum 'Pm2 Y1 Hf1 N4'
_cell_length_a 5.982
_cell_length_b 3.444
_cell_length_c 6.032
_cell_angle_alpha 90.00
_cell_angle_beta 109.06
_cell_angle_gamma 90.00
_symmetry_space_group_name_H-M 'P 1 2/m 1'
_symmetry_Int_Tables_number 10
loop_
_symmetry_equiv_pos_as_xyz
'x,y,z'
'-x,-y,-z'
'-x,y,-z'
'x,-y,z'
loop_
_atom_site_label
_atom_site_type_symbol
_atom_site_fract_x
_atom_site_fract_y
_atom_site_fract_z
Pm1 Pm 0.000 0.000 0.000
Pm2 Pm 0.500 0.500 0.000
Y1 Y 0.000 0.500 0.500
Hf1 Hf 0.500 0.000 0.500
N1 N 0.259 0.000 0.729
N2 N 0.272 0.500 0.278
```

## Properties
Formation energy from raw total energies (eV per atom): -1.606
Crystal system: monoclinic


Entry 4:
This record from Alexandria describes crystalline PuZn2Ge at its relaxed geometry. The functional is GGA-PBE.

CIF file:
```
data_PuZn2Ge
_chemical_formula_sum 'Pu8 Zn16 Ge8'
_cell_length_a 4.267
_cell_length_b 16.280
_cell_length_c 8.957
_cell_angle_alpha 90.00
_cell_angle_beta 90.00
_cell_angle_gamma 90.00
_symmetry_space_group_name_H-M 'C m c m'
_symmetry_Int_Tables_number 63
_symmetry_space_group_name_Hall '-C 2c 2'
loop_
_atom_site_label
_atom_site_type_symbol
_atom_site_fract_x
_atom_site_fract_y
_atom_site_fract_z
Pu1 Pu 0.000 0.000 0.000
Pu2 Pu 0.000 0.197 0.250
Zn1 Zn 0.000 0.189 0.609
Zn2 Zn 0.000 0.399 0.250
Zn3 Zn 0.000 0.452 0.750
Ge1 Ge 0.000 0.354 0.530
```

## Properties
Crystal system: orthorhombic
Energy of formation from the pure elements (eV/atom): -0.242


Entry 5:
This record from Alexandria describes crystalline TcRu2Br at its relaxed geometry. The functional is GGA-PBE.

CIF file:
```
data_TcRu2Br
_chemical_formula_sum 'Tc1 Ru2 Br1'
_cell_length_a 2.914
_cell_length_b 4.079
_cell_length_c 5.321
_cell_angle_alpha 90.00
_cell_angle_beta 104.89
_cell_angle_gamma 90.00
_symmetry_space_group_name_H-M 'P 1 m 1'
_symmetry_Int_Tables_number 6
loop_
_symmetry_equiv_pos_as_xyz
'x,y,z'
'x,-y,z'
loop_
_atom_site_label
_atom_site_type_symbol
_atom_site_fract_x
_atom_site_fract_y
_atom_site_fract_z
Tc1 Tc 0.000 0.000 0.000
Ru1 Ru 0.383 0.500 0.767
Ru2 Ru 0.748 0.000 0.506
Br1 Br 0.370 0.500 0.262
```

## Properties
Formation energy from raw total energies (eV per atom): 0.760
Crystal system: monoclinic


Entry 6:
This record from Alexandria describes crystalline La2IO6 at its relaxed geometry. The functional is GGA-PBE.

CIF file:
```
data_La2IO6
_chemical_formula_sum 'La4 I2 O12'
_cell_length_a 5.810
_cell_length_b 6.156
_cell_length_c 9.789
_cell_angle_alpha 90.00
_cell_angle_beta 120.34
_cell_angle_gamma 90.00
_symmetry_space_group_name_H-M 'P 1 21/c 1'
_symmetry_Int_Tables_number 14
loop_
_symmetry_equiv_pos_as_xyz
'x,y,z'
'-x,-y,-z'
'-x,y+1/2,-z+1/2'
'x,-y+1/2,z+1/2'
loop_
_atom_site_label
_atom_site_type_symbol
_atom_site_fract_x
_atom_site_fract_y
_atom_site_fract_z
La1 La 0.200 0.069 0.238
I1 I 0.500 0.000 0.000
O1 O 0.174 0.173 0.953
O2 O 0.248 0.745 0.894
O3 O 0.452 0.096 0.793
```

## Properties
Formation energy from raw total energies (eV per atom): -2.067
Crystal system: monoclinic


| no. | DFT total energy (eV/atom) | density of states at the Fermi level (states/eV per cell) |
| --- | --- | --- |
| 1 | -3.3469 | 5.80 |
| 2 | -4.6066 | 2.81 |
| 3 | -9.0089 | 1.16 |
| 4 | -5.6161 | 83.44 |
| 5 | -6.8879 | 5.34 |
| 6 | -6.6399 | 8.00 |